# ZrZnHg2

An optimized crystal structure of ZrZnHg2 (PBE-GGA, the Alexandria database).

Cell lengths 9.517, 9.517, 9.517 Å; angles 19.61, 19.61, 19.61 degrees
Fractional coordinates of all 4 atoms:
Zr 0.000 0.000 0.000
Zn 0.500 0.500 0.500
Hg 0.245 0.245 0.245
Hg 0.755 0.755 0.755

Crystal system: trigonal
Energy relative to the elements in eV per atom: 0.05
Total energy in eV per cell: -10.2
Space-group type: No. 166